Record 1
{
  "formula": "Ac5CePt5",
  "functional": "PBE-GGA",
  "state": "optimized geometry",
  "lattice": [[6.881, -3.068, 0.000], [6.881, 3.068, 0.000], [-2.771, 0.000, 8.250]],
  "species": ["Ac", "Ac", "Ac", "Ac", "Ac", "Ce", "Pt", "Pt", "Pt", "Pt", "Pt"],
  "fractional_positions": [[0.000, 0.000, 0.000], [0.326, 0.326, 0.173], [0.330, 0.330, 0.658], [0.670, 0.670, 0.342], [0.674, 0.674, 0.827], [0.000, 0.000, 0.500], [0.157, 0.157, 0.334], [0.161, 0.161, 0.826], [0.500, 0.500, 0.500], [0.839, 0.839, 0.174], [0.843, 0.843, 0.666]],
  "total_magnetization_mub_per_cell": 0.5,
  "sg": "C2/m, No. 12",
  "total_energy_ev_per_atom": -6.215,
  "formation_enthalpy_0k_ev_per_fu": -11.69
}

***

Record 2
{
  "formula": "Sc2Be2Ni5Sn",
  "functional": "PBE-GGA",
  "state": "optimized geometry",
  "lattice": [[8.822, 0.000, 0.000], [0.000, 8.822, 0.000], [0.000, 0.000, 3.362]],
  "species": ["Sc", "Sc", "Sc", "Sc", "Be", "Be", "Be", "Be", "Ni", "Ni", "Ni", "Ni", "Ni", "Ni", "Ni", "Ni", "Ni", "Ni", "Sn", "Sn"],
  "fractional_positions": [[0.180, 0.320, 0.000], [0.320, 0.820, 0.000], [0.680, 0.180, 0.000], [0.820, 0.680, 0.000], [0.112, 0.612, 0.000], [0.388, 0.112, 0.000], [0.612, 0.888, 0.000], [0.888, 0.388, 0.000], [0.000, 0.500, 0.500], [0.068, 0.775, 0.500], [0.225, 0.068, 0.500], [0.275, 0.568, 0.500], [0.432, 0.275, 0.500], [0.500, 0.000, 0.500], [0.568, 0.725, 0.500], [0.725, 0.432, 0.500], [0.775, 0.932, 0.500], [0.932, 0.225, 0.500], [0.000, 0.000, 0.000], [0.500, 0.500, 0.000]],
  "total_magnetization_mub_per_cell": 0.0,
  "sg": "P4/mbm, No. 127",
  "total_energy_ev_per_atom": -5.781,
  "formation_enthalpy_0k_ev_per_fu": -4.79
}

***

Record 3
{
  "formula": "BaThCd17",
  "functional": "PBE-GGA",
  "state": "optimized geometry",
  "lattice": [[5.109, 2.950, 5.048], [-5.109, 2.950, 5.048], [0.000, -5.899, 5.048]],
  "species": ["Ba", "Th", "Cd", "Cd", "Cd", "Cd", "Cd", "Cd", "Cd", "Cd", "Cd", "Cd", "Cd", "Cd", "Cd", "Cd", "Cd", "Cd", "Cd"],
  "fractional_positions": [[0.000, 0.000, 0.000], [0.666, 0.666, 0.666], [0.037, 0.339, 0.630], [0.037, 0.630, 0.339], [0.204, 0.685, 0.685], [0.244, 0.244, 0.244], [0.321, 0.321, 0.852], [0.321, 0.852, 0.321], [0.339, 0.037, 0.630], [0.339, 0.630, 0.037], [0.442, 0.442, 0.442], [0.524, 0.964, 0.964], [0.630, 0.037, 0.339], [0.630, 0.339, 0.037], [0.685, 0.204, 0.685], [0.685, 0.685, 0.204], [0.852, 0.321, 0.321], [0.964, 0.524, 0.964], [0.964, 0.964, 0.524]],
  "total_magnetization_mub_per_cell": 0.0,
  "sg": "R3m, No. 160",
  "total_energy_ev_per_atom": -1.443,
  "formation_enthalpy_0k_ev_per_fu": -2.51
}

***

Record 4
{
  "formula": "SrPuInHg",
  "functional": "PBE-GGA",
  "state": "optimized geometry",
  "lattice": [[7.830, 0.000, 0.000], [0.000, 7.830, 0.000], [0.000, 0.000, 7.830]],
  "species": ["Sr", "Sr", "Sr", "Sr", "Pu", "Pu", "Pu", "Pu", "In", "In", "In", "In", "Hg", "Hg", "Hg", "Hg"],
  "fractional_positions": [[0.000, 0.000, 0.000], [0.000, 0.500, 0.500], [0.500, 0.000, 0.500], [0.500, 0.500, 0.000], [0.000, 0.000, 0.500], [0.000, 0.500, 0.000], [0.500, 0.000, 0.000], [0.500, 0.500, 0.500], [0.250, 0.250, 0.250], [0.250, 0.750, 0.750], [0.750, 0.250, 0.750], [0.750, 0.750, 0.250], [0.250, 0.250, 0.750], [0.250, 0.750, 0.250], [0.750, 0.250, 0.250], [0.750, 0.750, 0.750]],
  "total_magnetization_mub_per_cell": 22.7,
  "sg": "F-43m, No. 216",
  "total_energy_ev_per_atom": -4.985,
  "formation_enthalpy_0k_ev_per_fu": -0.89
}

***

Record 5
{
  "formula": "Tb3PmBi2",
  "functional": "PBE-GGA",
  "state": "optimized geometry",
  "lattice": [[4.946, 0.000, 0.000], [0.000, 16.329, 0.000], [0.000, 0.000, 4.390]],
  "species": ["Tb", "Tb", "Tb", "Tb", "Tb", "Tb", "Pm", "Pm", "Bi", "Bi", "Bi", "Bi"],
  "fractional_positions": [[0.000, 0.000, 0.000], [0.000, 0.324, 0.000], [0.000, 0.676, 0.000], [0.500, 0.176, 0.000], [0.500, 0.500, 0.000], [0.500, 0.824, 0.000], [0.000, 0.500, 0.500], [0.500, 0.000, 0.500], [0.000, 0.153, 0.500], [0.000, 0.847, 0.500], [0.500, 0.347, 0.500], [0.500, 0.653, 0.500]],
  "relative_energy_ev_per_atom": 0.072,
  "total_magnetization_mub_per_cell": 1.4,
  "sg": "Cmmm, No. 65",
  "total_energy_ev_per_atom": -4.933,
  "formation_enthalpy_0k_ev_per_fu": -3.19
}

***

Record 6
{
  "formula": "Ce2PaTl",
  "functional": "PBE-GGA",
  "state": "optimized geometry",
  "lattice": [[7.585, 0.000, 0.000], [0.000, 7.585, 0.000], [0.000, 0.000, 7.585]],
  "species": ["Ce", "Ce", "Ce", "Ce", "Ce", "Ce", "Ce", "Ce", "Pa", "Pa", "Pa", "Pa", "Tl", "Tl", "Tl", "Tl"],
  "fractional_positions": [[0.250, 0.250, 0.250], [0.250, 0.250, 0.750], [0.250, 0.750, 0.250], [0.250, 0.750, 0.750], [0.750, 0.250, 0.250], [0.750, 0.250, 0.750], [0.750, 0.750, 0.250], [0.750, 0.750, 0.750], [0.000, 0.000, 0.000], [0.000, 0.500, 0.500], [0.500, 0.000, 0.500], [0.500, 0.500, 0.000], [0.000, 0.000, 0.500], [0.000, 0.500, 0.000], [0.500, 0.000, 0.000], [0.500, 0.500, 0.500]],
  "relative_energy_ev_per_atom": 0.214,
  "total_magnetization_mub_per_cell": 14.5,
  "sg": "Fm-3m, No. 225",
  "total_energy_ev_per_atom": -5.774,
  "formation_enthalpy_0k_ev_per_fu": 0.63
}